Model 1:
{
  "formula": "GdPbSeO",
  "functional": "GGA-PBE",
  "state": "optimized geometry",
  "lattice_angstrom": [[2.3729, -4.1099, 0.0000], [-4.7457, 0.0000, 0.0000], [2.3729, -1.3700, -10.8622]],
  "species": ["Gd", "Gd", "Se", "Se", "Pb", "Pb", "O", "O"],
  "frac_coords": [[0.7766, 0.2234, 0.6702], [0.2234, 0.7766, 0.3298], [0.8741, 0.1259, 0.3777], [0.1259, 0.8741, 0.6223], [0.3666, 0.6334, 0.9003], [0.6334, 0.3666, 0.0997], [0.2886, 0.7114, 0.1342], [0.7114, 0.2886, 0.8658]],
  "crystal_system": "trigonal",
  "vol_a3_per_cell": 211.9
}

***

Model 2:
{
  "formula": "GdPbSeO",
  "functional": "GGA-PBE",
  "state": "optimized geometry",
  "lattice_angstrom": [[2.4987, -4.3279, 0.0000], [-4.9975, 0.0000, 0.0000], [2.4987, -1.4426, -10.1284]],
  "species": ["Pb", "Pb", "Gd", "Gd", "Se", "Se", "O", "O"],
  "frac_coords": [[0.6315, 0.3685, 0.1055], [0.3685, 0.6315, 0.8945], [0.2230, 0.7770, 0.3309], [0.7770, 0.2230, 0.6691], [0.1240, 0.8760, 0.6281], [0.8760, 0.1240, 0.3719], [0.7067, 0.2933, 0.8799], [0.2933, 0.7067, 0.1201]],
  "crystal_system": "trigonal",
  "vol_a3_per_cell": 219.1
}

***

Least stable of them? model 2.

***

Model 1:
{
  "formula": "GdTePdO",
  "functional": "GGA-PBE",
  "state": "optimized geometry",
  "lattice_angstrom": [[0.6783, 3.8681, -1.7096], [-3.1184, 2.9358, 0.0398], [4.2625, 1.2686, 9.9267]],
  "species": ["O", "O", "Gd", "Gd", "Pd", "Pd", "Te", "Te"],
  "frac_coords": [[0.6411, 0.6411, 0.9234], [0.3588, 0.3588, 0.0766], [0.2912, 0.2912, 0.8735], [0.7088, 0.7088, 0.1265], [0.5429, 0.5429, 0.6288], [0.4571, 0.4571, 0.3712], [0.8896, 0.8896, 0.6688], [0.1104, 0.1104, 0.3312]],
  "crystal_system": "trigonal",
  "vol_a3_per_cell": 168.3
}

***

Model 2:
{
  "formula": "GdTePdO",
  "functional": "GGA-PBE",
  "state": "optimized geometry",
  "lattice_angstrom": [[-4.8334, 0.0000, 0.0000], [-2.4167, -4.1858, 0.0000], [2.4167, 1.3953, 8.1599]],
  "species": ["O", "O", "Pd", "Pd", "Te", "Te", "Gd", "Gd"],
  "frac_coords": [[0.7014, 0.7014, 0.1042], [0.2986, 0.2986, 0.8958], [0.6095, 0.6095, 0.8284], [0.3905, 0.3905, 0.1716], [0.9289, 0.9289, 0.7866], [0.0711, 0.0711, 0.2134], [0.2158, 0.2158, 0.6473], [0.7842, 0.7842, 0.3527]],
  "crystal_system": "trigonal",
  "vol_a3_per_cell": 165.1
}

***

Least stable of them? model 2.

***

Model 1:
{
  "formula": "PmGdTeO2",
  "functional": "GGA-PBE",
  "state": "optimized geometry",
  "lattice_angstrom": [[-0.1524, -2.0065, 3.4233], [0.8447, -1.9034, -3.3811], [7.1133, 1.2710, 1.0617]],
  "species": ["Te", "O", "O", "Pm", "Gd"],
  "frac_coords": [[0.0000, 0.0000, 0.9956], [0.3333, 0.6667, 0.3825], [0.6667, 0.3333, 0.6236], [0.6667, 0.3333, 0.3020], [0.3333, 0.6667, 0.6962]],
  "crystal_system": "trigonal",
  "vol_a3_per_cell": 99.7
}

***

Model 2:
{
  "formula": "PmGdTeO2",
  "functional": "GGA-PBE",
  "state": "optimized geometry",
  "lattice_angstrom": [[2.1954, -1.9468, 6.2844], [-2.9443, 0.3721, 6.2687], [-0.7730, -1.7585, -6.6643]],
  "species": ["O", "O", "Gd", "Te", "Pm"],
  "frac_coords": [[0.7479, 0.2479, 0.5000], [0.2479, 0.7479, 0.5000], [0.6620, 0.6620, 0.0000], [0.0009, 0.0009, 0.0000], [0.3412, 0.3412, 0.0000]],
  "crystal_system": "tetragonal",
  "vol_a3_per_cell": 100.7
}

***

Least stable of them? model 1.

***

Model 1:
{
  "formula": "RbGdSeO",
  "functional": "GGA-PBE",
  "state": "optimized geometry",
  "lattice_angstrom": [[4.2421, 0.0000, 0.0000], [0.0000, 4.2421, 0.0000], [0.0000, 0.0000, 10.2509]],
  "species": ["Gd", "Gd", "O", "O", "Rb", "Rb", "Se", "Se"],
  "frac_coords": [[0.2500, 0.2500, 0.0936], [0.7500, 0.7500, 0.9064], [0.2500, 0.7500, 0.0000], [0.7500, 0.2500, 0.0000], [0.2500, 0.7500, 0.5000], [0.7500, 0.2500, 0.5000], [0.7500, 0.7500, 0.2624], [0.2500, 0.2500, 0.7376]],
  "crystal_system": "tetragonal",
  "vol_a3_per_cell": 184.5
}

***

Model 2:
{
  "formula": "RbGdSeO",
  "functional": "GGA-PBE",
  "state": "optimized geometry",
  "lattice_angstrom": [[4.6157, 0.0000, 0.0000], [0.0000, 8.4916, 0.0000], [0.0000, 0.0000, 6.7784]],
  "species": ["Gd", "Gd", "Se", "Se", "O", "O", "Rb", "Rb"],
  "frac_coords": [[0.5000, 0.8813, 0.0376], [0.5000, 0.1187, 0.5376], [0.0000, 0.2943, 0.6176], [0.0000, 0.7057, 0.1176], [0.5000, 0.9182, 0.7255], [0.5000, 0.0819, 0.2255], [0.0000, 0.6989, 0.6103], [0.0000, 0.3011, 0.1103]],
  "crystal_system": "orthorhombic",
  "vol_a3_per_cell": 265.7
}

***

Model 3:
{
  "formula": "RbGdSeO",
  "functional": "GGA-PBE",
  "state": "optimized geometry",
  "lattice_angstrom": [[1.9195, 1.1082, 7.4078], [-1.9195, 1.1082, 7.4078], [0.0000, -2.2164, 7.4078]],
  "species": ["Rb", "Gd", "Se", "O"],
  "frac_coords": [[0.9940, 0.9940, 0.9940], [0.5149, 0.5149, 0.5149], [0.7670, 0.7670, 0.7670], [0.2241, 0.2241, 0.2241]],
  "crystal_system": "trigonal",
  "vol_a3_per_cell": 94.5
}

***

Model 4:
{
  "formula": "RbGdSeO",
  "functional": "GGA-PBE",
  "state": "optimized geometry",
  "lattice_angstrom": [[-3.0582, -0.3977, 7.5059], [5.5991, -4.6301, 2.0359], [4.1381, 5.2284, 0.5100]],
  "species": ["Se", "Se", "Se", "Se", "Gd", "Gd", "Gd", "Gd", "Rb", "Rb", "Rb", "Rb", "O", "O", "O", "O"],
  "frac_coords": [[0.2512, 0.0913, 0.8612], [0.2512, 0.4087, 0.3612], [0.7488, 0.9087, 0.1388], [0.7488, 0.5913, 0.6388], [0.5232, 0.8725, 0.7206], [0.4768, 0.3725, 0.7794], [0.4768, 0.1275, 0.2794], [0.5232, 0.6275, 0.2206], [0.9108, 0.2211, 0.5114], [0.0892, 0.7211, 0.9886], [0.9108, 0.2789, 0.0114], [0.0892, 0.7789, 0.4886], [0.4093, 0.8531, 0.3841], [0.5907, 0.3531, 0.1159], [0.5907, 0.1469, 0.6159], [0.4093, 0.6469, 0.8841]],
  "crystal_system": "monoclinic",
  "vol_a3_per_cell": 401.1
}

***

Least stable of them? model 1.

***

Model 1:
{
  "formula": "GdSnSO",
  "functional": "GGA-PBE",
  "state": "optimized geometry",
  "lattice_angstrom": [[-0.6065, -3.0844, -3.3654], [3.0390, -0.8259, 3.3600], [-5.8462, -3.6474, 7.5470]],
  "species": ["S", "S", "Gd", "Gd", "O", "O", "Sn", "Sn"],
  "frac_coords": [[0.8750, 0.1250, 0.6250], [0.1250, 0.8750, 0.3750], [0.7779, 0.2221, 0.3336], [0.2221, 0.7779, 0.6664], [0.2991, 0.7009, 0.8974], [0.7009, 0.2991, 0.1026], [0.6289, 0.3711, 0.8868], [0.3711, 0.6289, 0.1132]],
  "crystal_system": "trigonal",
  "vol_a3_per_cell": 181.2
}

***

Model 2:
{
  "formula": "GdSnSO",
  "functional": "GGA-PBE",
  "state": "optimized geometry",
  "lattice_angstrom": [[-1.8836, -5.5835, 2.0225], [16.4148, -4.4525, 2.9953], [-0.4678, 2.3539, 6.0627]],
  "species": ["Gd", "Gd", "Gd", "Gd", "Gd", "Gd", "Gd", "Gd", "S", "S", "S", "S", "S", "S", "S", "S", "O", "O", "O", "O", "O", "O", "O", "O", "Sn", "Sn", "Sn", "Sn", "Sn", "Sn", "Sn", "Sn"],
  "frac_coords": [[0.8476, 0.8030, 0.9155], [0.6524, 0.3030, 0.9155], [0.1524, 0.3030, 0.5845], [0.1524, 0.1970, 0.0845], [0.8476, 0.6970, 0.4155], [0.6524, 0.1970, 0.4155], [0.3476, 0.8030, 0.5845], [0.3476, 0.6970, 0.0845], [0.4986, 0.9082, 0.8822], [0.0014, 0.0918, 0.3822], [0.5014, 0.0918, 0.1178], [0.9986, 0.5918, 0.1178], [0.0014, 0.4082, 0.8822], [0.4986, 0.5918, 0.3822], [0.9986, 0.9082, 0.6178], [0.5014, 0.4082, 0.6178], [0.6587, 0.7543, 0.1816], [0.3413, 0.2543, 0.3184], [0.8413, 0.2543, 0.1816], [0.8413, 0.2457, 0.6816], [0.3413, 0.2457, 0.8184], [0.6587, 0.7457, 0.6816], [0.1587, 0.7457, 0.8184], [0.1587, 0.7543, 0.3184], [0.6779, 0.5247, 0.8339], [0.3221, 0.4753, 0.1661], [0.1779, 0.9753, 0.1661], [0.8221, 0.0247, 0.8339], [0.6779, 0.9753, 0.3339], [0.1779, 0.5247, 0.6661], [0.8221, 0.4753, 0.3339], [0.3221, 0.0247, 0.6661]],
  "crystal_system": "orthorhombic",
  "vol_a3_per_cell": 701.5
}

***

Least stable of them? model 1.

***

Model 1:
{
  "formula": "GdSnSO",
  "functional": "GGA-PBE",
  "state": "optimized geometry",
  "lattice_angstrom": [[-1.5915, -4.8112, -3.3185], [17.0925, -1.8984, -5.4448], [1.0775, -3.5413, 4.6174]],
  "species": ["S", "S", "S", "S", "S", "S", "S", "S", "Gd", "Gd", "Gd", "Gd", "Gd", "Gd", "Gd", "Gd", "Sn", "Sn", "Sn", "Sn", "Sn", "Sn", "Sn", "Sn", "O", "O", "O", "O", "O", "O", "O", "O"],
  "frac_coords": [[0.4833, 0.8940, 0.9062], [0.0167, 0.1060, 0.4062], [0.9833, 0.6060, 0.0938], [0.5167, 0.1060, 0.0938], [0.5167, 0.3940, 0.5938], [0.9833, 0.8940, 0.5938], [0.4833, 0.6060, 0.4062], [0.0167, 0.3940, 0.9062], [0.1170, 0.1977, 0.0282], [0.3830, 0.8023, 0.5282], [0.3830, 0.6977, 0.0282], [0.6170, 0.3023, 0.9718], [0.8830, 0.6977, 0.4718], [0.1170, 0.3023, 0.5282], [0.6170, 0.1977, 0.4718], [0.8830, 0.8023, 0.9718], [0.3763, 0.4798, 0.2154], [0.8763, 0.0202, 0.7846], [0.6237, 0.5202, 0.7846], [0.3763, 0.0202, 0.7154], [0.6237, 0.9798, 0.2846], [0.1237, 0.9798, 0.2154], [0.8763, 0.4798, 0.2846], [0.1237, 0.5202, 0.7154], [0.3595, 0.2618, 0.2481], [0.6405, 0.7382, 0.7519], [0.1405, 0.7382, 0.7481], [0.6405, 0.7618, 0.2519], [0.3595, 0.2382, 0.7481], [0.1405, 0.7618, 0.2481], [0.8595, 0.2382, 0.7519], [0.8595, 0.2618, 0.2519]],
  "crystal_system": "orthorhombic",
  "vol_a3_per_cell": 646.7
}

***

Model 2:
{
  "formula": "GdSnSO",
  "functional": "GGA-PBE",
  "state": "optimized geometry",
  "lattice_angstrom": [[6.3008, 0.0000, 0.0000], [0.0000, 15.9445, 0.0000], [0.0000, 0.0000, 7.0521]],
  "species": ["O", "O", "O", "O", "O", "O", "O", "O", "Sn", "Sn", "Sn", "Sn", "Sn", "Sn", "Sn", "Sn", "S", "S", "S", "S", "S", "S", "S", "S", "Gd", "Gd", "Gd", "Gd", "Gd", "Gd", "Gd", "Gd"],
  "frac_coords": [[0.3237, 0.2447, 0.8480], [0.1763, 0.7447, 0.8480], [0.3237, 0.2553, 0.3480], [0.1763, 0.7553, 0.3480], [0.6763, 0.7553, 0.1520], [0.8237, 0.2447, 0.6520], [0.8237, 0.2553, 0.1520], [0.6763, 0.7447, 0.6520], [0.6700, 0.9711, 0.3350], [0.8300, 0.4711, 0.3350], [0.1700, 0.5289, 0.6650], [0.1700, 0.9711, 0.1650], [0.8300, 0.0289, 0.8350], [0.3300, 0.4711, 0.1650], [0.6700, 0.5289, 0.8350], [0.3300, 0.0289, 0.6650], [0.0047, 0.9108, 0.6214], [0.9953, 0.0892, 0.3786], [0.5047, 0.9108, 0.8786], [0.5047, 0.5892, 0.3786], [0.9953, 0.4108, 0.8786], [0.4953, 0.4108, 0.6214], [0.4953, 0.0892, 0.1214], [0.0047, 0.5892, 0.1214], [0.6513, 0.2969, 0.8894], [0.1513, 0.2031, 0.1106], [0.3487, 0.7969, 0.6106], [0.6513, 0.2031, 0.3894], [0.8487, 0.7969, 0.8894], [0.1513, 0.2969, 0.6106], [0.3487, 0.7031, 0.1106], [0.8487, 0.7031, 0.3894]],
  "crystal_system": "orthorhombic",
  "vol_a3_per_cell": 708.5
}

***

Least stable of them? model 2.